Density functional theory data (PBE-GGA) for a relaxed structure of Sr2LaMo.

Values from the calculation:
SG: I4/mmm
uncorrected energy: -3.951 eV/atom
theoretical density: 5.10 g/cm³
formation energy from the elements: 830 meV/atom
total magnetic moment: 1.69 μB/f.u.

a b c (Å): 6.550 6.550 6.550
angles (deg): 136.05 136.05 63.91
Positions (direct):
La: 0.250 0.750 0.500
Sr: 0.000 0.000 0.000
Mo: 0.750 0.250 0.500
Sr: 0.500 0.500 0.000

Density functional theory data (PBE-GGA) for a relaxed structure of Nd8Ni2Pd.

Values from the calculation:
SG: Cm
uncorrected energy: -5.125 eV/atom
theoretical density: 7.10 g/cm³
formation energy from the elements: -134 meV/atom
total magnetic moment: 0.00 μB/f.u.

a b c (Å): 6.272 7.708 7.708
angles (deg): 114.35 99.78 99.78
Positions (direct):
Nd: 0.981 0.211 0.787
Nd: 0.981 0.787 0.211
Nd: 0.173 0.371 0.371
Nd: 0.590 0.351 0.086
Ni: 0.489 0.313 0.695
Nd: 0.368 0.651 0.918
Ni: 0.489 0.695 0.313
Nd: 0.798 0.639 0.639
Nd: 0.368 0.918 0.651
Nd: 0.590 0.086 0.351
Pd: 0.173 0.013 0.013

Density functional theory data (PBE-GGA) for a relaxed structure of Y2Be.

Values from the calculation:
SG: I4/mcm
uncorrected energy: -5.417 eV/atom
theoretical density: 4.14 g/cm³
formation energy from the elements: 134 meV/atom
total magnetic moment: 0.91 μB/f.u.

a b c (Å): 5.802 5.802 5.802
angles (deg): 107.60 107.60 113.28
Positions (direct):
Be: 0.750 0.750 0.000
Y: 0.179 0.321 0.500
Y: 0.821 0.679 0.500
Y: 0.679 0.179 0.858
Y: 0.321 0.821 0.142
Be: 0.250 0.250 0.000

Density functional theory data (PBE-GGA) for a relaxed structure of TlCo2Cu2.

Values from the calculation:
SG: P4/mbm
uncorrected energy: -4.517 eV/atom
theoretical density: 10.38 g/cm³
formation energy from the elements: 437 meV/atom
total magnetic moment: 2.88 μB/f.u.

a b c (Å): 6.780 6.780 3.127
angles (deg): 90.00 90.00 90.00
Positions (direct):
Co: 0.881 0.619 0.000
Cu: 0.332 0.168 0.500
Tl: 0.000 0.000 0.000
Cu: 0.668 0.832 0.500
Co: 0.119 0.381 0.000
Tl: 0.500 0.500 0.000
Cu: 0.832 0.332 0.500
Co: 0.619 0.119 0.000
Co: 0.381 0.881 0.000
Cu: 0.168 0.668 0.500